Material: GdAgW2O8
Method: DFT, GGA+U
State: relaxed

Cell: 7.4871 7.4871 7.3543 Å, 114.39 114.39 94.44°
Positions (direct):
Gd1 0.2005 0.7995 0.0000
Gd2 0.7995 0.2005 0.0000
Ag1 0.1893 0.1893 0.5180
Ag2 0.8107 0.8107 0.4820
W1 0.2864 0.2864 0.0271
W2 0.3381 0.6619 0.5000
W3 0.6619 0.3381 0.5000
W4 0.7136 0.7136 0.9729
O1 0.0547 0.0547 0.8578
O2 0.1488 0.3975 0.2399
O3 0.1886 0.7130 0.6463
O4 0.1990 0.4547 0.9093
O5 0.2870 0.8114 0.3537
O6 0.3975 0.1488 0.2399
O7 0.4547 0.1990 0.9093
O8 0.4795 0.4795 0.6593
O9 0.5205 0.5205 0.3407
O10 0.5453 0.8010 0.0907
O11 0.6025 0.8512 0.7601
O12 0.7130 0.1886 0.6463
O13 0.8010 0.5453 0.0907
O14 0.8114 0.2870 0.3537
O15 0.8512 0.6025 0.7601
O16 0.9453 0.9453 0.1422

Calculated total energy   -8.03 eV/atom